# ScAlNiMo, optimized geometry, DFT PBE
data_ScAlNiMo
_space_group_name_H-M_alt 'F -4 3 m'
_space_group_IT_number 216
_space_group_name_Hall 'F -4 2 3'
_cell_length_a 6.255
_cell_length_b 6.255
_cell_length_c 6.255
_cell_angle_alpha 90.00
_cell_angle_beta 90.00
_cell_angle_gamma 90.00
loop_
_atom_site_label
_atom_site_type_symbol
_atom_site_fract_x
_atom_site_fract_y
_atom_site_fract_z
Sc1 Sc 0.000 0.000 0.000
Al1 Al 0.000 0.000 0.500
Ni1 Ni 0.250 0.250 0.750
Mo1 Mo 0.250 0.250 0.250
# Energy above the most stable polymorph in this dataset = 0.000 eV per atom

=====

# Li2Mg2Al2CuAu

A relaxed structure of Li2Mg2Al2CuAu (PBE, the Open Quantum Materials Database).

Cell and atoms, written as CIF:
```
data_Li2Mg2Al2CuAu
_space_group_name_H-M_alt 'P -4 m 2'
_space_group_IT_number 115
_space_group_name_Hall 'P -4 -2'
_cell_length_a 4.434
_cell_length_b 4.434
_cell_length_c 6.242
_cell_angle_alpha 90.00
_cell_angle_beta 90.00
_cell_angle_gamma 90.00
loop_
_atom_site_label
_atom_site_type_symbol
_atom_site_fract_x
_atom_site_fract_y
_atom_site_fract_z
Li1 Li 0.000 0.000 0.000
Li2 Li 0.500 0.500 0.500
Mg1 Mg 0.000 0.500 0.242
Al1 Al 0.000 0.500 0.759
Cu1 Cu 0.500 0.500 0.000
Au1 Au 0.000 0.000 0.500
```

=====

# Y2AgBi2, optimized geometry, DFT PBE
data_Y2AgBi2
_space_group_name_H-M_alt 'I 4/m m m'
_space_group_IT_number 139
_space_group_name_Hall '-I 4 2'
_cell_length_a 4.542
_cell_length_b 4.542
_cell_length_c 14.188
_cell_angle_alpha 90.00
_cell_angle_beta 90.00
_cell_angle_gamma 90.00
loop_
_atom_site_label
_atom_site_type_symbol
_atom_site_fract_x
_atom_site_fract_y
_atom_site_fract_z
Y1 Y 0.000 0.000 0.099
Ag1 Ag 0.000 0.000 0.500
Bi1 Bi 0.000 0.500 0.250
# Energy above the most stable polymorph in this dataset = 0.140 eV per atom

=====

# LiAlCuW, optimized geometry, DFT PBE
data_LiAlCuW
_space_group_name_H-M_alt 'F -4 3 m'
_space_group_IT_number 216
_space_group_name_Hall 'F -4 2 3'
_cell_length_a 6.001
_cell_length_b 6.001
_cell_length_c 6.001
_cell_angle_alpha 90.00
_cell_angle_beta 90.00
_cell_angle_gamma 90.00
loop_
_atom_site_label
_atom_site_type_symbol
_atom_site_fract_x
_atom_site_fract_y
_atom_site_fract_z
Li1 Li 0.000 0.000 0.000
Al1 Al 0.250 0.250 0.250
Cu1 Cu 0.000 0.000 0.500
W1 W 0.250 0.250 0.750
# Energy above the most stable polymorph in this dataset = 0.006 eV per atom

=====

# ReN, optimized geometry, DFT PBE
data_ReN
_space_group_name_H-M_alt 'P m -3 m'
_space_group_IT_number 221
_space_group_name_Hall '-P 4 2 3'
_cell_length_a 2.700
_cell_length_b 2.700
_cell_length_c 2.700
_cell_angle_alpha 90.00
_cell_angle_beta 90.00
_cell_angle_gamma 90.00
loop_
_atom_site_label
_atom_site_type_symbol
_atom_site_fract_x
_atom_site_fract_y
_atom_site_fract_z
Re1 Re 0.000 0.000 0.000
N1 N 0.500 0.500 0.500
# Energy above the most stable polymorph in this dataset = 1.115 eV per atom

=====

# Pr2ErCd3AgAu2, optimized geometry, DFT PBE
data_Pr2ErCd3AgAu2
_space_group_name_H-M_alt 'A m m 2'
_space_group_IT_number 38
_space_group_name_Hall 'A 2 -2'
_cell_length_a 3.938
_cell_length_b 13.766
_cell_length_c 7.994
_cell_angle_alpha 90.00
_cell_angle_beta 90.00
_cell_angle_gamma 90.00
loop_
_atom_site_label
_atom_site_type_symbol
_atom_site_fract_x
_atom_site_fract_y
_atom_site_fract_z
Pr1 Pr 0.000 0.204 0.000
Er1 Er 0.000 0.000 0.614
Cd1 Cd 0.500 0.000 0.944
Cd2 Cd 0.500 0.128 0.336
Ag1 Ag 0.000 0.000 0.208
Au1 Au 0.500 0.161 0.701
# DFT formation energy = -0.564 eV per atom

=====

Calculated uncorrected energy in order - -6.72, -3.01, -4.78, -5.16, -9.20, -3.47 eV/atom